# 1
First-principles (PBE) data for a geometry-optimized TcPCS2 structure, as listed in Alexandria.

Properties
**Total energy**: -24.76 eV for the cell shown
**Calculated density**: 3.49 g cm⁻³
**Magnetic moment**: 1.71 Bohr magnetons per cell
**SG**: P4/mmm
**E above lowest polymorph**: 47.9 kJ per mole of atoms

CIF file:
```
data_TcPCS2
_cell_length_a 4.548
_cell_length_b 4.548
_cell_length_c 4.721
_cell_angle_alpha 90.00
_cell_angle_beta 90.00
_cell_angle_gamma 90.00
_space_group_name_H-M_alt 'P 1'
_space_group_IT_number 1
loop_
_space_group_symop_operation_xyz
'x,y,z'
loop_
_atom_site_label
_atom_site_type_symbol
_atom_site_fract_x
_atom_site_fract_y
_atom_site_fract_z
_atom_site_occupancy
C1 C 0.500 0.500 0.500 1
S1 S 0.000 0.500 0.000 1
S2 S 0.500 0.000 0.000 1
P1 P 0.000 0.000 0.500 1
Tc1 Tc 0.000 0.000 0.000 1
```

***

# 2
First-principles (PBE) data for a geometry-optimized TcPCS2 structure, as listed in Alexandria.

Properties
**Total energy**: -27.24 eV for the cell shown
**Calculated density**: 5.42 g cm⁻³
**Magnetic moment**: 0.00 Bohr magnetons per cell
**SG**: P4/mmm
**E above lowest polymorph**: 0.0 kJ per mole of atoms

CIF file:
```
data_TcPCS2
_cell_length_a 4.011
_cell_length_b 4.011
_cell_length_c 3.905
_cell_angle_alpha 90.00
_cell_angle_beta 90.00
_cell_angle_gamma 90.00
_space_group_name_H-M_alt 'P 1'
_space_group_IT_number 1
loop_
_space_group_symop_operation_xyz
'x,y,z'
loop_
_atom_site_label
_atom_site_type_symbol
_atom_site_fract_x
_atom_site_fract_y
_atom_site_fract_z
_atom_site_occupancy
C1 C 0.000 0.000 0.000 1
Tc1 Tc 0.500 0.500 0.500 1
S1 S 0.500 0.000 0.000 1
S2 S 0.000 0.500 0.000 1
P1 P 0.000 0.000 0.500 1
```

***

# 3
First-principles (PBE) data for a geometry-optimized Th8PC4S3 structure, as listed in Alexandria.

Properties
**Total energy**: -132.17 eV for the cell shown
**Calculated density**: 9.71 g cm⁻³
**Magnetic moment**: 0.00 Bohr magnetons per cell
**SG**: R-3m

CIF file:
```
data_Th8PC4S3
_cell_length_a 7.746
_cell_length_b 8.041
_cell_length_c 7.747
_cell_angle_alpha 118.79
_cell_angle_beta 120.00
_cell_angle_gamma 90.00
_space_group_name_H-M_alt 'P 1'
_space_group_IT_number 1
loop_
_space_group_symop_operation_xyz
'x,y,z'
loop_
_atom_site_label
_atom_site_type_symbol
_atom_site_fract_x
_atom_site_fract_y
_atom_site_fract_z
_atom_site_occupancy
Th1 Th 0.739 0.213 0.477 1
Th2 Th 0.763 0.789 0.526 1
Th3 Th 0.764 0.787 0.025 1
Th4 Th 0.739 0.213 0.975 1
Th5 Th 0.261 0.787 0.025 1
Th6 Th 0.237 0.211 0.474 1
Th7 Th 0.261 0.787 0.523 1
Th8 Th 0.236 0.213 0.975 1
S1 S 0.500 0.500 0.500 1
S2 S 0.000 0.500 0.500 1
S3 S 0.500 0.500 0.000 1
P1 P 0.000 0.500 0.000 1
C1 C 0.500 0.000 0.000 1
C2 C 0.000 0.000 0.500 1
C3 C 0.500 0.000 0.500 1
C4 C 0.000 0.000 0.000 1
```

***

# 4
First-principles (PBE) data for a geometry-optimized Th6P2CS3 structure, as listed in Alexandria.

Properties
**Total energy**: -95.20 eV for the cell shown
**Calculated density**: 9.23 g cm⁻³
**Magnetic moment**: 0.00 Bohr magnetons per cell
**SG**: C2/m

CIF file:
```
data_Th6P2CS3
_cell_length_a 4.024
_cell_length_b 8.140
_cell_length_c 9.041
_cell_angle_alpha 102.99
_cell_angle_beta 102.86
_cell_angle_gamma 90.00
_space_group_name_H-M_alt 'P 1'
_space_group_IT_number 1
loop_
_space_group_symop_operation_xyz
'x,y,z'
loop_
_atom_site_label
_atom_site_type_symbol
_atom_site_fract_x
_atom_site_fract_y
_atom_site_fract_z
_atom_site_occupancy
Th1 Th 0.345 0.921 0.690 1
Th2 Th 0.655 0.079 0.310 1
Th3 Th 0.001 0.777 0.001 1
Th4 Th 0.999 0.223 0.999 1
Th5 Th 0.667 0.582 0.335 1
Th6 Th 0.333 0.418 0.665 1
P1 P 0.165 0.333 0.330 1
P2 P 0.835 0.667 0.670 1
S1 S 0.170 0.836 0.341 1
S2 S 0.500 0.500 0.000 1
S3 S 0.830 0.164 0.659 1
C1 C 0.500 0.000 0.000 1
```

***

# 5
First-principles (PBE) data for a geometry-optimized Th6PC2S3 structure, as listed in Alexandria.

Properties
**Total energy**: -96.93 eV for the cell shown
**Calculated density**: 9.49 g cm⁻³
**Magnetic moment**: 0.00 Bohr magnetons per cell
**SG**: C2/m

CIF file:
```
data_Th6PC2S3
_cell_length_a 3.936
_cell_length_b 8.108
_cell_length_c 8.968
_cell_angle_alpha 104.43
_cell_angle_beta 102.68
_cell_angle_gamma 90.00
_space_group_name_H-M_alt 'P 1'
_space_group_IT_number 1
loop_
_space_group_symop_operation_xyz
'x,y,z'
loop_
_atom_site_label
_atom_site_type_symbol
_atom_site_fract_x
_atom_site_fract_y
_atom_site_fract_z
_atom_site_occupancy
S1 S 0.163 0.832 0.326 1
S2 S 0.837 0.168 0.674 1
S3 S 0.500 0.500 0.000 1
Th1 Th 0.675 0.563 0.350 1
Th2 Th 0.332 0.886 0.664 1
Th3 Th 0.012 0.255 0.025 1
Th4 Th 0.325 0.437 0.650 1
Th5 Th 0.668 0.114 0.336 1
Th6 Th 0.988 0.745 0.975 1
C1 C 0.830 0.664 0.659 1
C2 C 0.170 0.336 0.341 1
P1 P 0.500 0.000 0.000 1
```

***

# 6
First-principles (PBE) data for a geometry-optimized Th6PC3S2 structure, as listed in Alexandria.

Properties
**Total energy**: -99.18 eV for the cell shown
**Calculated density**: 9.69 g cm⁻³
**Magnetic moment**: 0.00 Bohr magnetons per cell
**SG**: C2/m

CIF file:
```
data_Th6PC3S2
_cell_length_a 3.875
_cell_length_b 8.052
_cell_length_c 8.920
_cell_angle_alpha 105.69
_cell_angle_beta 102.55
_cell_angle_gamma 90.00
_space_group_name_H-M_alt 'P 1'
_space_group_IT_number 1
loop_
_space_group_symop_operation_xyz
'x,y,z'
loop_
_atom_site_label
_atom_site_type_symbol
_atom_site_fract_x
_atom_site_fract_y
_atom_site_fract_z
_atom_site_occupancy
C1 C 0.834 0.169 0.667 1
C2 C 0.500 0.500 0.000 1
C3 C 0.166 0.831 0.333 1
S1 S 0.832 0.665 0.663 1
S2 S 0.168 0.335 0.337 1
Th1 Th 0.674 0.062 0.347 1
Th2 Th 0.007 0.732 0.014 1
Th3 Th 0.657 0.605 0.315 1
Th4 Th 0.326 0.938 0.653 1
Th5 Th 0.343 0.395 0.685 1
Th6 Th 0.993 0.268 0.986 1
P1 P 0.500 0.000 0.000 1
```

***

# 7
First-principles (PBE) data for a geometry-optimized Th4PC2S structure, as listed in Alexandria.

Properties
**Total energy**: -66.16 eV for the cell shown
**Calculated density**: 9.64 g cm⁻³
**Magnetic moment**: 0.00 Bohr magnetons per cell
**SG**: P2/m

CIF file:
```
data_Th4PC2S
_cell_length_a 3.891
_cell_length_b 6.740
_cell_length_c 7.035
_cell_angle_alpha 108.58
_cell_angle_beta 90.00
_cell_angle_gamma 90.00
_space_group_name_H-M_alt 'P 1'
_space_group_IT_number 1
loop_
_space_group_symop_operation_xyz
'x,y,z'
loop_
_atom_site_label
_atom_site_type_symbol
_atom_site_fract_x
_atom_site_fract_y
_atom_site_fract_z
_atom_site_occupancy
Th1 Th 0.000 0.764 0.285 1
Th2 Th 0.500 0.260 0.283 1
Th3 Th 0.500 0.740 0.717 1
Th4 Th 0.000 0.236 0.715 1
C1 C 0.500 0.000 0.500 1
C2 C 0.000 0.500 0.500 1
S1 S 0.500 0.500 0.000 1
P1 P 0.000 0.000 0.000 1
```

***

# 8
First-principles (PBE) data for a geometry-optimized Th4P2CS structure, as listed in Alexandria.

Properties
**Total energy**: -64.33 eV for the cell shown
**Calculated density**: 9.22 g cm⁻³
**Magnetic moment**: 0.00 Bohr magnetons per cell
**SG**: P2/m

CIF file:
```
data_Th4P2CS
_cell_length_a 4.009
_cell_length_b 6.991
_cell_length_c 7.032
_cell_angle_alpha 70.90
_cell_angle_beta 90.00
_cell_angle_gamma 90.00
_space_group_name_H-M_alt 'P 1'
_space_group_IT_number 1
loop_
_space_group_symop_operation_xyz
'x,y,z'
loop_
_atom_site_label
_atom_site_type_symbol
_atom_site_fract_x
_atom_site_fract_y
_atom_site_fract_z
_atom_site_occupancy
Th1 Th 0.000 0.261 0.264 1
Th2 Th 0.500 0.272 0.726 1
Th3 Th 0.500 0.728 0.274 1
Th4 Th 0.000 0.739 0.736 1
C1 C 0.000 0.500 0.500 1
P1 P 0.500 0.000 0.500 1
P2 P 0.000 0.000 0.000 1
S1 S 0.500 0.500 0.000 1
```